DFT (PBE) results for crystalline LiBeP at its relaxed geometry.

Geometry as POSCAR:
```
LiBeP
1.0
3.7590 0.0000 0.0000
0.0000 3.7590 0.0000
0.0000 0.0000 5.7247
Li Be P
2 2 2
direct
0.2500 0.7500 0.0000 Li
0.7500 0.2500 0.0000 Li
0.2500 0.7500 0.5000 Be
0.7500 0.2500 0.5000 Be
0.2500 0.2500 0.2874 P
0.7500 0.7500 0.7126 P
```

Output
Its energy of formation from the pure elements is -1.6 eV/f.u. As for the calculated density: 1.93 g/cm³. Its total magnetization is 0.00 Bohr magnetons per cell. The total energy is -4.22 eV per atom. As for the space group: P4/nmm, No. 129.

DFT (PBE) results for crystalline Ge3PtS at its relaxed geometry.

Geometry as POSCAR:
```
Ge3PtS
1.0
4.7070 0.0000 0.0000
0.0000 4.7070 0.0000
0.0000 0.0000 4.7070
Ge Pt S
3 1 1
direct
0.0000 0.0000 0.5000 Ge
0.0000 0.5000 0.0000 Ge
0.5000 0.0000 0.0000 Ge
0.5000 0.5000 0.5000 Pt
0.0000 0.0000 0.0000 S
```

Output
As for the calculated density: 7.09 g/cm³. Its formation energy from raw total energies is 70 kJ per mole of atoms. Its total magnetization is 0.00 Bohr magnetons per cell. The total energy is -4.08 eV per atom. As for the space group: Pm-3m, No. 221. The density of states at the Fermi level comes out at 0.696 states/eV per atom. The value obtained for the polymorph energy (0 for the lowest one) is 0.4097 eV per atom.

DFT (PBE) results for crystalline V4FeRu5 at its relaxed geometry.

Geometry as POSCAR:
```
V4FeRu5
1.0
3.0157 0.0000 0.0000
0.0000 3.0157 0.0000
0.0000 0.0000 14.9346
V Fe Ru
4 1 5
direct
0.0000 0.0000 0.1017 V
0.0000 0.0000 0.3070 V
0.0000 0.0000 0.6930 V
0.0000 0.0000 0.8983 V
0.0000 0.0000 0.5000 Fe
0.5000 0.5000 0.0000 Ru
0.5000 0.5000 0.2000 Ru
0.5000 0.5000 0.3979 Ru
0.5000 0.5000 0.6021 Ru
0.5000 0.5000 0.8000 Ru
```

Output
Its energy of formation from the pure elements is -2.0 eV/f.u. As for the calculated density: 9.35 g/cm³. Its total magnetization is 3.00 Bohr magnetons per cell. The total energy is -9.33 eV per atom. As for the space group: P4/mmm, No. 123. The density of states at the Fermi level comes out at 1.109 states/eV per atom.

DFT (PBE) results for crystalline Sm3CuIr8 at its relaxed geometry.

Geometry as POSCAR:
```
Sm3CuIr8
1.0
2.6825 1.5488 8.7272
-2.6825 1.5488 8.7272
0.0000 -3.0975 8.7272
Sm Cu Ir
3 1 8
direct
0.0000 0.0000 0.0000 Sm
0.1292 0.1292 0.1292 Sm
0.5137 0.5137 0.5137 Sm
0.6440 0.6440 0.6440 Cu
0.0657 0.5663 0.5663 Ir
0.0676 0.0676 0.5683 Ir
0.0676 0.5683 0.0676 Ir
0.3162 0.3162 0.3162 Ir
0.5663 0.0657 0.5663 Ir
0.5663 0.5663 0.0657 Ir
0.5683 0.0676 0.0676 Ir
0.8167 0.8167 0.8167 Ir
```

Output
Its energy of formation from the pure elements is -5.7 eV/f.u. As for the calculated density: 15.67 g/cm³. Its total magnetization is 0.00 Bohr magnetons per cell. The total energy is -7.90 eV per atom. As for the space group: R3m, No. 160. The density of states at the Fermi level comes out at 1.139 states/eV per atom.